Entry from Alexandria via LeMat-Bulk: crystalline CsTl3Sn3 at its relaxed geometry (PBE).

Computed properties:
relative energy among the computed polymorphs	0.1066	eV/atom
N(E_F)	10.5	states/eV/cell
energy of formation from the pure elements	0.059	eV/atom

Cell and atoms, written as CIF:
```
data_CsTl3Sn3
_cell_length_a 8.349
_cell_length_b 8.349
_cell_length_c 8.349
_cell_angle_alpha 90.00
_cell_angle_beta 90.00
_cell_angle_gamma 90.00
_symmetry_space_group_name_H-M 'P m -3 n'
_symmetry_Int_Tables_number 223
_symmetry_space_group_name_Hall '-P 4n 2 3'
loop_
_atom_site_label
_atom_site_fract_x
_atom_site_fract_y
_atom_site_fract_z
Cs1 0.000 0.000 0.000
Tl1 0.000 0.250 0.500
Sn1 0.000 0.500 0.250
```